Density functional theory data (GGA-PBE) for a relaxed TbMgGaIr crystal.

The structure in POSCAR format:
```
TbMgGaIr
1.0
6.7439 0.0000 0.0000
0.0000 6.7439 0.0000
0.0000 0.0000 6.7439
Tb Mg Ga Ir
4 4 4 4
Direct
0.0000 0.0000 0.0000
0.0000 0.5000 0.5000
0.5000 0.0000 0.5000
0.5000 0.5000 0.0000
0.0000 0.0000 0.5000
0.0000 0.5000 0.0000
0.5000 0.0000 0.0000
0.5000 0.5000 0.5000
0.2500 0.2500 0.2500
0.2500 0.7500 0.7500
0.7500 0.2500 0.7500
0.7500 0.7500 0.2500
0.2500 0.2500 0.7500
0.2500 0.7500 0.2500
0.7500 0.2500 0.2500
0.7500 0.7500 0.7500
```


Density functional theory data (GGA-PBE) for a relaxed Tb2MgGa4Ir3 crystal.

The structure in POSCAR format:
```
Tb2MgGa4Ir3
1.0
4.0354 0.0000 0.0000
0.0000 4.0354 0.0000
0.0000 0.0000 11.5003
Tb Mg Ga Ir
2 1 4 3
Direct
0.0000 0.5000 0.2356
0.5000 0.0000 0.7644
0.0000 0.0000 0.5000
0.0000 0.0000 0.0000
0.0000 0.5000 0.6446
0.5000 0.0000 0.3554
0.5000 0.5000 0.0000
0.0000 0.5000 0.8626
0.5000 0.0000 0.1374
0.5000 0.5000 0.5000
```


Density functional theory data (GGA-PBE) for a relaxed Tb2MgGa2Ir5 crystal.

The structure in POSCAR format:
```
Tb2MgGa2Ir5
1.0
9.8122 0.0000 0.0000
0.0000 9.8122 0.0000
0.0000 0.0000 3.6072
Tb Mg Ga Ir
4 2 4 10
Direct
0.1744 0.3256 0.0000
0.3256 0.8256 0.0000
0.6744 0.1744 0.0000
0.8256 0.6744 0.0000
0.0000 0.0000 0.0000
0.5000 0.5000 0.0000
0.1251 0.6251 0.0000
0.3749 0.1251 0.0000
0.6251 0.8749 0.0000
0.8749 0.3749 0.0000
0.0000 0.5000 0.5000
0.0656 0.7943 0.5000
0.2057 0.0656 0.5000
0.2943 0.5656 0.5000
0.4344 0.2943 0.5000
0.5000 0.0000 0.5000
0.5656 0.7057 0.5000
0.7057 0.4344 0.5000
0.7943 0.9344 0.5000
0.9344 0.2057 0.5000
```


Density functional theory data (GGA-PBE) for a relaxed ThMgGa2Ir5 crystal.

The structure in POSCAR format:
```
ThMgGa2Ir5
1.0
4.1702 0.0000 0.0000
0.0000 4.1702 0.0000
0.0000 0.0000 9.2172
Th Mg Ga Ir
1 1 2 5
Direct
0.0000 0.0000 0.0000
0.0000 0.0000 0.5000
0.5000 0.5000 0.3699
0.5000 0.5000 0.6301
0.0000 0.5000 0.2243
0.0000 0.5000 0.7757
0.5000 0.0000 0.2243
0.5000 0.0000 0.7757
0.5000 0.5000 0.0000
```


Quick rundown of formation energy from the elements, same order as above: -0.478 -0.644 -0.576 -0.321 eV/atom
Quick rundown of E, same order as above: -5.006 -5.599 -6.697 -6.918 eV/atom